# 1
Below is crystalline SrMnBeCo2 at its relaxed geometry, with properties calculated at the GGA-PBE level.

Values from the calculation:
Calculated volume ... 106 Å³ per cell
DOS at the Fermi energy ... 6.492 states/eV per cell
Total DFT energy (no corrections) ... -3.35 eV per atom
ΔH_f (0 K) ... 2.4061 eV per atom

Cell: 4.609 4.609 4.978 Å, 90.00 90.00 90.00°
Space group P4/mmm (No. 123)
One atom of each set of equivalent atoms:
1 Sr 0.000 0.000 0.000 (multiplicity 1)
2 Mn 0.000 0.000 0.500 (multiplicity 1)
3 Be 0.500 0.500 0.500 (multiplicity 1)
4 Co 0.000 0.500 0.000 (multiplicity 2)

---

# 2
Below is crystalline Tb9Dy4Al11 at its relaxed geometry, with properties calculated at the GGA-PBE level.

Values from the calculation:
Calculated volume ... 1165 Å³ per cell
DOS at the Fermi energy ... 31.881 states/eV per cell
Total DFT energy (no corrections) ... -4.54 eV per atom
ΔH_f (0 K) ... -0.3242 eV per atom

Cell: 15.423 22.345 3.381 Å, 90.00 90.00 90.00°
Space group Cmmm (No. 65)
One atom of each set of equivalent atoms:
1 Tb 0.000 0.000 0.000 (multiplicity 2)
2 Tb 0.108 0.405 0.000 (multiplicity 8)
3 Tb 0.112 0.225 0.000 (multiplicity 8)
4 Dy 0.175 0.083 0.000 (multiplicity 8)
5 Al 0.000 0.121 0.500 (multiplicity 4)
6 Al 0.000 0.313 0.500 (multiplicity 4)
7 Al 0.000 0.500 0.500 (multiplicity 2)
8 Al 0.203 0.500 0.500 (multiplicity 4)
9 Al 0.227 0.314 0.500 (multiplicity 8)

---

# 3
Below is crystalline KAs5 at its relaxed geometry, with properties calculated at the GGA-PBE level.

Values from the calculation:
Calculated volume ... 318 Å³ per cell
DOS at the Fermi energy ... 2.533 states/eV per cell
Total DFT energy (no corrections) ... -4.05 eV per atom
ΔH_f (0 K) ... 0.0072 eV per atom

Cell: 3.637 4.573 19.103 Å, 90.00 90.00 90.00°
Space group Amm2 (No. 38)
One atom of each set of equivalent atoms:
1 K 0.000 0.000 0.000 (multiplicity 2)
2 As 0.000 0.000 0.327 (multiplicity 2)
3 As 0.000 0.000 0.640 (multiplicity 2)
4 As 0.500 0.000 0.159 (multiplicity 2)
5 As 0.500 0.000 0.410 (multiplicity 2)
6 As 0.500 0.000 0.734 (multiplicity 2)

---

# 4
Below is crystalline Hf2GePd at its relaxed geometry, with properties calculated at the GGA-PBE level.

Values from the calculation:
Calculated volume ... 243 Å³ per cell
DOS at the Fermi energy ... 8.865 states/eV per cell
Total DFT energy (no corrections) ... -7.81 eV per atom
ΔH_f (0 K) ... -0.3837 eV per atom

Cell: 3.7418 3.7418 20.0465 Å, 90.00 90.00 120.00°
Space group R-3m (No. 166, hexagonal axes)
One atom of each set of equivalent atoms:
1 Hf 0.0000 0.0000 0.2480 (multiplicity 6)
2 Ge 0.0000 0.0000 0.5000 (multiplicity 3)
3 Pd 0.0000 0.0000 0.0000 (multiplicity 3)

---

Among the records above, which one has the lowest ΔH_f (0 K)? Hf2GePd